Entry 1:
NbAlCoNi (PBE-GGA, relaxed); symmetry = F-43m; DFT total energy = -28.09 eV for the cell shown; total moment = 0.88 μB/cell; polymorph energy (0 for the lowest one) = 0 meV per atom
1.0
0.000 2.983 2.983
2.983 0.000 2.983
2.983 2.983 0.000
Al Ni Co Nb
1 1 1 1
direct
0.000 0.000 0.000 Al
0.250 0.250 0.250 Ni
0.750 0.750 0.750 Co
0.500 0.500 0.500 Nb

---

Entry 2:
CsKThS3 (PBE-GGA, relaxed); symmetry = Cmcm; DFT total energy = -61.74 eV for the cell shown; total moment = 0.02 μB/cell
1.0
2.131 -8.892 0.000
2.131 8.892 0.000
0.000 0.000 11.793
S Cs K Th
6 2 2 2
direct
0.510 0.490 0.750 S
0.899 0.101 0.996 S
0.101 0.899 0.496 S
0.490 0.510 0.250 S
0.101 0.899 0.004 S
0.899 0.101 0.504 S
0.168 0.832 0.750 Cs
0.832 0.168 0.250 Cs
0.884 0.116 0.750 K
0.116 0.884 0.250 K
0.500 0.500 0.500 Th
0.500 0.500 0.000 Th

---

Entry 3:
Cu2Ag3 (PBE-GGA, relaxed); symmetry = P-1; ΔE_f = 0.0928 eV per atom; DFT total energy = -30.89 eV for the cell shown; polymorph energy (0 for the lowest one) = 61 meV per atom
1.0
4.829 0.000 0.000
-0.935 4.795 0.000
-1.517 -2.658 6.749
Ag Cu
6 4
direct
0.966 0.907 0.657 Ag
0.165 0.311 0.048 Ag
0.835 0.689 0.952 Ag
0.352 0.699 0.448 Ag
0.648 0.301 0.552 Ag
0.034 0.093 0.343 Ag
0.552 0.093 0.860 Cu
0.260 0.516 0.758 Cu
0.740 0.484 0.242 Cu
0.448 0.907 0.140 Cu

---

Entry 4:
HfZrGaFe (PBE-GGA, relaxed); symmetry = F-43m; DFT total energy = -29.72 eV for the cell shown; total moment = 0.83 μB/cell; polymorph energy (0 for the lowest one) = 0 meV per atom
1.0
-2.083 0.614 4.014
-3.847 2.444 0.224
-3.975 -2.075 0.849
Fe Ga Hf Zr
1 1 1 1
direct
0.750 0.750 0.750 Fe
0.000 0.000 0.000 Ga
0.500 0.500 0.500 Hf
0.250 0.250 0.250 Zr